[1]
The following is a PBE calculation of crystalline Sr2PRu at its relaxed geometry, from Alexandria via LeMat-Bulk.

The formation energy from the elements is 48 meV per atom. The space group is P4/mmm (123). The density of states at the Fermi level comes out at 3.7 states/eV/f.u.

Cell and atoms, written as extended XYZ:
```
4
Lattice="4.821 0.000 0.000 0.000 4.821 0.000 0.000 0.000 4.117" Properties=species:S:1:pos:R:3 pbc="T T T"
Sr 0.000 2.410 0.000
Sr 2.410 0.000 0.000
Ru 2.410 2.410 2.058
P 0.000 0.000 2.058
```

[2]
The following is a PBE calculation of crystalline SrP3Ru3 at its relaxed geometry, from Alexandria via LeMat-Bulk.

The formation energy from the elements is -685 meV per atom. The space group is C2/m (12). The density of states at the Fermi level comes out at 3.9 states/eV/f.u.

Cell and atoms, written as extended XYZ:
```
14
Lattice="-1.991 0.900 3.339 -6.521 -1.252 -1.165 -1.212 -9.598 4.249" Properties=species:S:1:pos:R:3 pbc="T T T"
Ru -6.790 -9.413 5.642
Ru -2.934 -0.538 0.780
Ru -7.383 -4.860 1.678
Ru -1.858 -7.454 3.286
Ru -7.866 -2.496 3.137
Ru -2.341 -5.090 4.745
P -7.354 -4.595 4.008
P -8.434 -8.456 4.405
P -4.858 -8.582 6.570
P -4.866 -1.368 -0.147
P -1.290 -1.495 2.018
P -2.370 -5.356 2.415
Sr -4.436 -2.863 2.896
Sr -5.288 -7.087 3.527
```

[3]
The following is a PBE calculation of crystalline Sr4PRu at its relaxed geometry, from Alexandria via LeMat-Bulk.

The formation energy from the elements is 1009 meV per atom. The space group is F-43m (216). The density of states at the Fermi level comes out at 7.6 states/eV/f.u.

Cell and atoms, written as extended XYZ:
```
6
Lattice="1.760 -6.196 -0.519 -0.602 -3.965 5.067 -4.495 -4.642 -0.047" Properties=species:S:1:pos:R:3 pbc="T T T"
Sr -1.252 -5.551 1.688
Sr -1.553 -7.534 4.221
Sr -3.499 -7.872 1.665
Sr -0.372 -8.649 1.428
P -2.503 -11.102 3.376
Ru 0.000 0.000 0.000
```

[4]
The following is a PBE calculation of crystalline Sr2PRu at its relaxed geometry, from Alexandria via LeMat-Bulk.

The formation energy from the elements is 97 meV per atom. The space group is I4/mmm (139). The density of states at the Fermi level comes out at 3.0 states/eV/f.u.

Cell and atoms, written as extended XYZ:
```
4
Lattice="3.999 -2.316 2.722 -2.719 -3.180 3.356 -0.534 0.238 -5.332" Properties=species:S:1:pos:R:3 pbc="T T T"
P 0.640 -2.748 3.039
Sr -1.306 -2.845 0.531
Sr 2.053 -2.413 0.215
Ru 0.000 0.000 0.000
```

[5]
The following is a PBE calculation of crystalline Sr2PRu at its relaxed geometry, from Alexandria via LeMat-Bulk.

The formation energy from the elements is -301 meV per atom. The space group is I-42d (122). The density of states at the Fermi level comes out at 3.0 states/eV/f.u.

Cell and atoms, written as extended XYZ:
```
8
Lattice="11.273 0.000 0.000 0.000 11.273 0.000 5.637 5.637 2.232" Properties=species:S:1:pos:R:3 pbc="T T T"
Sr 11.958 8.455 0.558
Sr 14.091 4.952 1.674
Sr 8.455 6.322 1.674
Sr 10.588 2.818 0.558
Ru 0.000 0.000 0.000
Ru 11.273 5.637 1.116
P 5.637 11.273 1.116
P 5.637 5.637 0.000
```

[6]
The following is a PBE calculation of crystalline Sr2PRu at its relaxed geometry, from Alexandria via LeMat-Bulk.

The formation energy from the elements is 54 meV per atom. The space group is Pmmm (47). The density of states at the Fermi level comes out at 4.6 states/eV/f.u.

Cell and atoms, written as extended XYZ:
```
4
Lattice="-0.581 -2.992 -2.125 3.556 0.527 -1.715 2.727 -3.731 4.506" Properties=species:S:1:pos:R:3 pbc="T T T"
Ru 2.851 -3.098 0.333
P 1.487 -1.232 -1.920
Sr 2.066 -2.827 3.415
Sr 0.660 -0.903 1.091
```

[7]
The following is a PBE calculation of crystalline SrP2Ru3 at its relaxed geometry, from Alexandria via LeMat-Bulk.

The formation energy from the elements is -556 meV per atom. The space group is P6/mmm (191). The density of states at the Fermi level comes out at 4.4 states/eV/f.u.

Cell and atoms, written as extended XYZ:
```
6
Lattice="-2.375 1.581 -1.888 1.915 -2.752 -4.713 -4.159 -2.372 3.244" Properties=species:S:1:pos:R:3 pbc="T T T"
P -0.107 -2.629 -2.066
P -2.132 -2.502 0.586
Ru -2.307 -1.775 -1.684
Ru -3.264 -0.399 0.672
Ru -0.228 -0.589 -3.307
Sr 0.002 -0.003 -0.006
```

[8]
The following is a PBE calculation of crystalline SrP2Ru2 at its relaxed geometry, from Alexandria via LeMat-Bulk.

The formation energy from the elements is -122 meV per atom. The space group is P4/mbm (127). The density of states at the Fermi level comes out at 3.5 states/eV/f.u.

Cell and atoms, written as extended XYZ:
```
10
Lattice="7.475 0.000 0.000 0.000 7.475 0.000 0.000 0.000 2.965" Properties=species:S:1:pos:R:3 pbc="T T T"
Sr 0.000 0.000 0.000
Sr 3.738 3.738 0.000
P 1.041 4.778 1.482
P 4.778 6.435 1.482
P 2.697 1.041 1.482
P 6.435 2.697 1.482
Ru 2.776 6.514 0.000
Ru 4.699 0.962 0.000
Ru 0.962 2.776 0.000
Ru 6.514 4.699 0.000
```